Below is crystalline Ac2NiH2O6 at its relaxed geometry, with properties calculated at the GGA+U level.

Structure (CIF):
```
data_Ac2NiH2O6
_chemical_formula_sum 'Ac6 Ni3 H6 O18'
_cell_length_a 5.2527
_cell_length_b 5.2527
_cell_length_c 14.7667
_cell_angle_alpha 90.00
_cell_angle_beta 90.00
_cell_angle_gamma 120.00
_space_group_name_H-M_alt 'R -3 m'
_space_group_IT_number 166
_space_group_name_Hall '-R 3 2"'
loop_
_atom_site_label
_atom_site_type_symbol
_atom_site_fract_x
_atom_site_fract_y
_atom_site_fract_z
_atom_site_occupancy
Ac1 Ac 0.0000 0.0000 0.2396 1
Ni1 Ni 0.0000 0.0000 0.0000 1
H1 H 0.0000 0.0000 0.4145 1
O1 O 0.0095 0.5048 0.2541 1
```

Values from the calculation:
volume: 10.69 A^3/atom
electronic total energy: -6.030 eV per atom
DOS at the Fermi energy: 5.2 states/eV/cell